Entry from Alexandria via LeMat-Bulk: a crystal of BRuSe3 relaxed with PBEsol (meta-GGA SCAN).

The structure in POSCAR format:
```
BRuSe3
1.0
4.7725 0.0000 0.0000
0.0000 4.7725 0.0000
0.0000 0.0000 4.7725
B Ru Se
1 1 3
direct
0.0000 0.0000 0.0000 B
0.5000 0.5000 0.5000 Ru
0.0000 0.5000 0.5000 Se
0.5000 0.0000 0.5000 Se
0.5000 0.5000 0.0000 Se
```

Results
Its uncorrected formation energy is 1.3349 eV/atom. For the calculated density, the calculation gives 5.33 g/cm3. For the volume, the calculation gives 109 Å³ per cell.